[1]
Material: TbDy5Tl8
Method: DFT, PBE
State: optimized geometry

- DFT total energy (eV per atom) = -3.56
- energy of formation (eV/f.u.) = -3.30

Lattice parameters (Å, degrees): 9.2654 9.2654 9.2964 90.00 90.00 90.00
Closest atoms and distances in Å follow each position.
Space group I-4 (No. 82)
Symmetry-distinct sites (fractional):
Tb  0.0000  0.0000  0.0000 [2 per cell]  8 Tl 3.20-3.24
Dy  0.0000  0.5000  0.2500 [2 per cell]  8 Tl 3.20-3.22
Dy  0.1261  0.2521  0.6266 [8 per cell]  8 Tl 3.19-3.23
Tl  0.0811  0.1672  0.2954 [8 per cell]  5 Dy 3.19-3.23, 1 Tb 3.24, 3 Tl 3.44-3.49
Tl  0.0833  0.3325  0.9578 [8 per cell]  5 Dy 3.19-3.22, 1 Tb 3.20, 3 Tl 3.46-3.49


[2]
Material: TbDy3Tl2
Method: DFT, PBE
State: optimized geometry

- DFT total energy (eV per atom) = -4.02
- polymorph energy (0 for the lowest one) (meV per atom) = 114
- energy of formation (eV/f.u.) = -0.93

Lattice parameters (Å, degrees): 16.3860 5.3722 9.2881 90.00 119.92 90.00
Closest atoms and distances in Å follow each position.
Space group C2/m (No. 12)
Symmetry-distinct sites (fractional):
Tb  0.1300  0.0000  0.1695 [4 per cell]  5 Tl 3.22-3.55, 2 Dy 3.55
Dy  0.0577  0.0000  0.7154 [4 per cell]  3 Tl 3.37-3.43, 6 Dy 3.47-3.62, 2 Tb 3.73-3.77
Dy  0.1168  0.5000  0.5460 [4 per cell]  3 Tl 3.00-3.11
Dy  0.1928  0.5000  0.9937 [4 per cell]  2 Tl 3.07-3.38, 2 Dy 3.24
Tl  0.0226  0.5000  0.1744 [4 per cell]  1 Tl 2.94, 2 Dy 3.00-3.07, 2 Tb 3.22
Tl  0.2230  0.0000  0.5919 [4 per cell]  5 Dy 3.11-3.45, 1 Tb 3.43


[3]
Material: TbDy5Tl6
Method: DFT, PBE
State: optimized geometry

- DFT total energy (eV per atom) = -3.83
- polymorph energy (0 for the lowest one) (meV per atom) = 0
- energy of formation (eV/f.u.) = -4.11

Lattice parameters (Å, degrees): 9.2582 16.1505 5.3678 90.00 125.24 90.00
Closest atoms and distances in Å follow each position.
Space group C2/m (No. 12)
Symmetry-distinct sites (fractional):
Tb  0.0000  0.0000  0.0000 [2 per cell]  8 Tl 3.28-3.30
Dy  0.0000  0.1663  0.5000 [4 per cell]  8 Tl 3.28-3.29
Dy  0.0000  0.3334  0.0000 [4 per cell]  8 Tl 3.28-3.29
Dy  0.0000  0.5000  0.5000 [2 per cell]  8 Tl 3.27-3.29
Tl  0.2495  0.3329  0.7495 [8 per cell]  7 Dy 3.28-3.29, 1 Tb 3.30
Tl  0.2490  0.5000  0.2489 [4 per cell]  6 Dy 3.27-3.29, 2 Tb 3.28-3.29


[4]
Material: Tb3Dy2Tl
Method: DFT, PBE
State: optimized geometry

- DFT total energy (eV per atom) = -4.35
- polymorph energy (0 for the lowest one) (meV per atom) = 0
- energy of formation (eV/f.u.) = -0.65

Lattice parameters (Å, degrees): 4.8731 15.1583 4.8736 90.00 90.00 90.00
Closest atoms and distances in Å follow each position.
Space group Cmmm (No. 65)
Symmetry-distinct sites (fractional):
Tb  0.0000  0.0000  0.0000 [2 per cell]  4 Tl 3.45, 4 Dy 3.47, 4 Tb 3.54
Tb  0.0000  0.3309  0.0000 [4 per cell]  6 Dy 3.45-3.53, 4 Tb 3.46-3.54, 2 Tl 3.54
Dy  0.0000  0.1625  0.5000 [4 per cell]  8 Tb 3.45-3.53, 2 Tl 3.46, 2 Dy 3.60
Tl  0.0000  0.5000  0.5000 [2 per cell]  8 Tb 3.45-3.54, 4 Dy 3.46


[5]
Material: Tb12Dy6Tl
Method: DFT, PBE
State: optimized geometry

- DFT total energy (eV per atom) = -4.42
- polymorph energy (0 for the lowest one) (meV per atom) = 96
- energy of formation (eV/f.u.) = 1.65

Lattice parameters (Å, degrees): 11.8426 11.8426 14.9912 90.00 90.00 120.00
Closest atoms and distances in Å follow each position.
Space group R-3 (No. 148, hexagonal axes)
Symmetry-distinct sites (fractional):
Tb  0.0019  0.1757  0.3134 [18 per cell]  4 Dy 3.41-3.66, 4 Tb 3.47-3.61, 1 Tl 3.48
Tb  0.0448  0.8487  0.9158 [18 per cell]  3 Dy 3.29-3.46, 6 Tb 3.29-3.65
Dy  0.0183  0.4283  0.1862 [18 per cell]  7 Tb 3.29-3.66, 1 Tl 3.38, 2 Dy 3.42
Tl  0.0000  0.0000  0.5000 [3 per cell]  6 Dy 3.38, 6 Tb 3.48


[6]
Material: TbDyTl
Method: DFT, PBE
State: optimized geometry

- DFT total energy (eV per atom) = -4.01
- polymorph energy (0 for the lowest one) (meV per atom) = 119
- energy of formation (eV/f.u.) = -0.42

Lattice parameters (Å, degrees): 5.2626 5.2626 3.6869 90.00 90.00 120.00
Closest atoms and distances in Å follow each position.
Space group P3m1 (No. 156)
Symmetry-distinct sites (fractional):
Tb  0.0000  0.0000  0.0000 [1 per cell]  3 Tl 3.25, 6 Dy 3.48-3.63
Dy  0.6667  0.3333  0.5373 [1 per cell]  3 Tl 3.15, 3 Tb 3.48
Tl  0.3333  0.6667  0.3108 [1 per cell]  3 Dy 3.15, 3 Tb 3.25


[7]
Material: Tb2Dy2Tl5
Method: DFT, PBE
State: optimized geometry

- DFT total energy (eV per atom) = -3.55
- energy of formation (eV/f.u.) = -1.69

Lattice parameters (Å, degrees): 16.0158 8.0894 8.1889 90.00 90.00 90.00
Closest atoms and distances in Å follow each position.
Space group Cmce (No. 64)
Symmetry-distinct sites (fractional):
Tb  0.0000  0.1529  0.1563 [8 per cell]  8 Tl 3.07-3.31
Dy  0.1990  0.0000  0.5000 [8 per cell]  7 Tl 3.13-3.29
Tl  0.0000  0.0000  0.5000 [4 per cell]  4 Tb 3.07-3.09, 2 Dy 3.19
Tl  0.1371  0.1485  0.8533 [16 per cell]  3 Dy 3.13-3.29, 3 Tb 3.16-3.31, 1 Tl 3.40


[8]
Material: Tb3DyTl2
Method: DFT, PBE
State: optimized geometry

- DFT total energy (eV per atom) = -4.14
- energy of formation (eV/f.u.) = -1.62

Lattice parameters (Å, degrees): 5.1159 10.0306 6.8059 90.00 90.00 90.00
Closest atoms and distances in Å follow each position.
Space group Pmc2_1 (No. 26)
Symmetry-distinct sites (fractional):
Tb  0.0000  0.0408  0.0000 [2 per cell]  5 Tl 3.23-3.53, 4 Tb 3.50-3.51
Tb  0.0000  0.3143  0.3702 [2 per cell]  4 Tl 3.22-3.23, 2 Dy 3.50
Tb  0.5000  0.1872  0.7217 [2 per cell]  4 Tl 3.22-3.24, 2 Tb 3.51
Dy  0.5000  0.4589  0.0913 [2 per cell]  5 Tl 3.22-3.53, 2 Tb 3.50, 2 Dy 3.50
Tl  0.0000  0.3656  0.8380 [2 per cell]  5 Tb 3.22-3.44, 4 Dy 3.22-3.53
Tl  0.5000  0.1346  0.2540 [2 per cell]  8 Tb 3.23-3.53, 1 Dy 3.44


[9]
Material: Tb6Dy2Tl
Method: DFT, PBE
State: optimized geometry

- DFT total energy (eV per atom) = -4.41
- polymorph energy (0 for the lowest one) (meV per atom) = 24
- energy of formation (eV/f.u.) = -0.35

Lattice parameters (Å, degrees): 10.6477 10.6477 4.8928 90.00 90.00 90.00
Closest atoms and distances in Å follow each position.
Space group P4_2/mnm (No. 136)
Symmetry-distinct sites (fractional):
Tb  0.0003  0.3356  0.0000 [8 per cell]  8 Tb 3.48-3.60, 3 Dy 3.52-3.60, 1 Tl 3.57
Tb  0.1618  0.1618  0.5000 [4 per cell]  4 Dy 3.45-3.61, 2 Tl 3.45, 6 Tb 3.52-3.60
Dy  0.1620  0.8380  0.5000 [4 per cell]  10 Tb 3.45-3.61, 2 Tl 3.46
Tl  0.0000  0.0000  0.0000 [2 per cell]  8 Tb 3.45-3.57, 4 Dy 3.46


[10]
Material: Tb4DyTl
Method: DFT, PBE
State: optimized geometry

- DFT total energy (eV per atom) = -4.22
- polymorph energy (0 for the lowest one) (meV per atom) = 137
- energy of formation (eV/f.u.) = 0.19

Lattice parameters (Å, degrees): 5.5526 21.1403 6.5211 90.00 90.00 90.00
Closest atoms and distances in Å follow each position.
Space group Cmc2_1 (No. 36)
Symmetry-distinct sites (fractional):
Tb  0.0000  0.0388  0.0000 [4 per cell]  2 Tl 3.07-3.10, 1 Tb 3.24
Tb  0.0000  0.1819  0.8238 [4 per cell]  1 Tl 3.07, 4 Tb 3.16-3.38
Tb  0.0000  0.2470  0.2970 [4 per cell]  1 Tl 3.13, 3 Tb 3.16-3.38, 1 Dy 3.45
Tb  0.0000  0.4353  0.1757 [4 per cell]  2 Tl 3.33, 4 Tb 3.53-3.72, 2 Dy 3.54-3.65
Dy  0.0000  0.3636  0.6664 [4 per cell]  2 Tl 3.32, 7 Tb 3.45-3.69
Tl  0.0000  0.1045  0.4249 [4 per cell]  6 Tb 3.07-3.33, 2 Dy 3.32


[11]
Material: Tb4Dy9Tl11
Method: DFT, PBE
State: optimized geometry

- DFT total energy (eV per atom) = -3.85
- energy of formation (eV/f.u.) = -6.44

Lattice parameters (Å, degrees): 16.1854 23.0154 3.5800 90.00 90.00 90.00
Closest atoms and distances in Å follow each position.
Space group Cmmm (No. 65)
Symmetry-distinct sites (fractional):
Tb  0.1668  0.0815  0.0000 [8 per cell]  6 Tl 3.25-3.38, 3 Dy 3.29-3.63, 2 Tb 3.58
Dy  0.0000  0.0000  0.0000 [2 per cell]  4 Tb 3.29, 4 Tl 3.35, 2 Dy 3.58
Dy  0.1098  0.4063  0.0000 [8 per cell]  8 Tl 3.26-3.32, 3 Dy 3.56-3.58, 1 Tb 3.63
Dy  0.1137  0.2276  0.0000 [8 per cell]  8 Tl 3.24-3.52, 1 Tb 3.47, 2 Dy 3.58
Tl  0.0000  0.1232  0.5000 [4 per cell]  6 Dy 3.35-3.52, 4 Tb 3.38, 2 Tl 3.58
Tl  0.0000  0.3136  0.5000 [4 per cell]  8 Dy 3.24-3.30, 2 Tl 3.58
Tl  0.0000  0.5000  0.5000 [2 per cell]  8 Dy 3.32, 4 Tl 3.43-3.58
Tl  0.2122  0.5000  0.5000 [4 per cell]  4 Tb 3.25, 4 Dy 3.26, 3 Tl 3.43-3.58
Tl  0.2301  0.3200  0.5000 [8 per cell]  3 Tl 3.29-3.58, 6 Dy 3.29-3.36, 2 Tb 3.34


[12]
Material: TbDy3Tl4
Method: DFT, PBE
State: optimized geometry

- DFT total energy (eV per atom) = -3.84
- polymorph energy (0 for the lowest one) (meV per atom) = 0
- energy of formation (eV/f.u.) = -2.78

Lattice parameters (Å, degrees): 3.7953 3.7953 15.1588 90.00 90.00 90.00
Closest atoms and distances in Å follow each position.
Space group P4/mmm (No. 123)
Symmetry-distinct sites (fractional):
Tb  0.0000  0.0000  0.0000 [1 per cell]  8 Tl 3.29
Dy  0.0000  0.0000  0.2507 [2 per cell]  8 Tl 3.28
Dy  0.0000  0.0000  0.5000 [1 per cell]  8 Tl 3.28
Tl  0.5000  0.5000  0.1261 [2 per cell]  4 Dy 3.28, 4 Tb 3.29
Tl  0.5000  0.5000  0.3754 [2 per cell]  8 Dy 3.28